This record from the Alexandria database describes a relaxed Pm7Y3Th crystal. The functional is PBE.

Excess energy over the best structure of this formula in the dataset   0 meV/atom
Formation energy   2.085 eV/f.u.
Total magnetization   0.000 μB/f.u.
Total energy   -5.2711 eV/atom
Calculated density   6.41 g/cm³

a b c (Å): 7.202 7.202 8.736
angles (deg): 90.00 90.00 120.00
Fractional coordinates of all 11 atoms:
Pm1 0.000 0.000 0.000
Pm2 0.006 0.503 0.999
Pm3 0.331 0.165 0.665
Pm4 0.497 0.503 0.999
Pm5 0.497 0.994 0.999
Pm6 0.835 0.165 0.665
Pm7 0.835 0.669 0.665
Y1 0.169 0.338 0.338
Y2 0.169 0.831 0.338
Y3 0.662 0.831 0.338
Th1 0.333 0.667 0.668